Record 1
# PBE-GGA Ac2Nd3Pt4, relaxed
data_Ac2Nd3Pt4
_space_group_name_H-M_alt 'P 1'
_space_group_IT_number 1
_space_group_name_Hall 'P 1'
_cell_length_a 7.854
_cell_length_b 7.918
_cell_length_c 8.312
_cell_angle_alpha 90.00
_cell_angle_beta 108.50
_cell_angle_gamma 90.00
loop_
_atom_site_label
_atom_site_type_symbol
_atom_site_fract_x
_atom_site_fract_y
_atom_site_fract_z
_atom_site_occupancy
Ac1 Ac 0.202 0.177 0.093 1
Ac2 Ac 0.202 0.323 0.593 1
Ac3 Ac 0.798 0.677 0.407 1
Ac4 Ac 0.798 0.823 0.907 1
Nd1 Nd 0.245 0.665 0.251 1
Nd2 Nd 0.245 0.835 0.751 1
Nd3 Nd 0.500 0.000 0.500 1
Nd4 Nd 0.500 0.500 0.000 1
Nd5 Nd 0.755 0.165 0.249 1
Nd6 Nd 0.755 0.335 0.749 1
Pt1 Pt 0.095 0.536 0.874 1
Pt2 Pt 0.095 0.964 0.374 1
Pt3 Pt 0.499 0.132 0.876 1
Pt4 Pt 0.499 0.368 0.376 1
Pt5 Pt 0.501 0.632 0.624 1
Pt6 Pt 0.501 0.868 0.124 1
Pt7 Pt 0.905 0.036 0.626 1
Pt8 Pt 0.905 0.464 0.126 1
# Energy of formation ... -1.0581 eV/atom
# Electronic total energy ... -6.25 eV per atom
# SG ... P2_1/c (14)

Record 2
# PBE-GGA Ac5NdPt4, relaxed
data_Ac5NdPt4
_space_group_name_H-M_alt 'P 1'
_space_group_IT_number 1
_space_group_name_Hall 'P 1'
_cell_length_a 9.727
_cell_length_b 9.727
_cell_length_c 8.634
_cell_angle_alpha 104.03
_cell_angle_beta 104.03
_cell_angle_gamma 26.01
loop_
_atom_site_label
_atom_site_type_symbol
_atom_site_fract_x
_atom_site_fract_y
_atom_site_fract_z
_atom_site_occupancy
Ac1 Ac 0.000 0.000 0.000 1
Ac2 Ac 0.333 0.333 0.651 1
Ac3 Ac 0.338 0.338 0.172 1
Ac4 Ac 0.662 0.662 0.828 1
Ac5 Ac 0.667 0.667 0.349 1
Nd1 Nd 0.000 0.000 0.500 1
Pt1 Pt 0.167 0.167 0.593 1
Pt2 Pt 0.500 0.500 0.250 1
Pt3 Pt 0.500 0.500 0.750 1
Pt4 Pt 0.833 0.833 0.407 1
# Energy of formation ... -0.9441 eV/atom
# Electronic total energy ... -5.89 eV per atom
# SG ... C2/m (12)

Record 3
# PBE-GGA Ac3NdPt3, relaxed
data_Ac3NdPt3
_space_group_name_H-M_alt 'P 1'
_space_group_IT_number 1
_space_group_name_Hall 'P 1'
_cell_length_a 12.845
_cell_length_b 4.340
_cell_length_c 15.513
_cell_angle_alpha 90.00
_cell_angle_beta 90.00
_cell_angle_gamma 90.00
loop_
_atom_site_label
_atom_site_type_symbol
_atom_site_fract_x
_atom_site_fract_y
_atom_site_fract_z
_atom_site_occupancy
Ac1 Ac 0.063 0.250 0.096 1
Ac2 Ac 0.157 0.750 0.516 1
Ac3 Ac 0.239 0.750 0.800 1
Ac4 Ac 0.261 0.250 0.300 1
Ac5 Ac 0.343 0.250 0.016 1
Ac6 Ac 0.437 0.750 0.596 1
Ac7 Ac 0.563 0.250 0.404 1
Ac8 Ac 0.657 0.750 0.984 1
Ac9 Ac 0.739 0.750 0.700 1
Ac10 Ac 0.761 0.250 0.200 1
Ac11 Ac 0.843 0.250 0.484 1
Ac12 Ac 0.937 0.750 0.904 1
Nd1 Nd 0.024 0.250 0.702 1
Nd2 Nd 0.476 0.750 0.202 1
Nd3 Nd 0.524 0.250 0.798 1
Nd4 Nd 0.976 0.750 0.298 1
Pt1 Pt 0.060 0.250 0.398 1
Pt2 Pt 0.107 0.250 0.896 1
Pt3 Pt 0.249 0.750 0.151 1
Pt4 Pt 0.251 0.250 0.651 1
Pt5 Pt 0.393 0.750 0.396 1
Pt6 Pt 0.440 0.750 0.898 1
Pt7 Pt 0.560 0.250 0.102 1
Pt8 Pt 0.607 0.250 0.604 1
Pt9 Pt 0.749 0.750 0.349 1
Pt10 Pt 0.751 0.250 0.849 1
Pt11 Pt 0.893 0.750 0.104 1
Pt12 Pt 0.940 0.750 0.602 1
# Energy of formation ... -1.0093 eV/atom
# Electronic total energy ... -6.04 eV per atom
# SG ... Pnma (62)

Record 4
# PBE-GGA AcNdPt, relaxed
data_AcNdPt
_space_group_name_H-M_alt 'P 1'
_space_group_IT_number 1
_space_group_name_Hall 'P 1'
_cell_length_a 6.992
_cell_length_b 7.329
_cell_length_c 10.641
_cell_angle_alpha 90.00
_cell_angle_beta 128.30
_cell_angle_gamma 90.00
loop_
_atom_site_label
_atom_site_type_symbol
_atom_site_fract_x
_atom_site_fract_y
_atom_site_fract_z
_atom_site_occupancy
Ac1 Ac 0.143 0.085 0.383 1
Ac2 Ac 0.143 0.415 0.883 1
Ac3 Ac 0.857 0.585 0.117 1
Ac4 Ac 0.857 0.915 0.617 1
Nd1 Nd 0.366 0.576 0.614 1
Nd2 Nd 0.366 0.924 0.114 1
Nd3 Nd 0.634 0.076 0.886 1
Nd4 Nd 0.634 0.424 0.386 1
Pt1 Pt 0.365 0.743 0.361 1
Pt2 Pt 0.365 0.757 0.861 1
Pt3 Pt 0.635 0.243 0.139 1
Pt4 Pt 0.635 0.257 0.639 1
# Energy of formation ... -0.7342 eV/atom
# Polymorph energy (0 for the lowest one) ... 26 meV/atom
# Electronic total energy ... -5.71 eV per atom
# SG ... P2_1/c (14)